Material: CsLiThS3
Method: DFT, PBE-GGA
State: relaxed

Computed properties:
Formation energy (no corrections) (meV per atom): -1704.3
VASP energy (eV per atom): -5.4659

Unit cell a=9.472 b=4.252 c=9.698 alpha=90.00 beta=108.89 gamma=90.00
Space group P2_1/m (No. 11)
Unique sites:
Cs1 0.208 0.250 0.257 x2
Li1 0.078 0.250 0.594 x2
Th1 0.321 0.750 0.841 x2
S1 0.140 0.250 0.863 x2
S2 0.187 0.750 0.549 x2
S3 0.475 0.750 0.150 x2